(i)
Crystalline Re2PbSe at its relaxed geometry, computed with GGA-PBE.

Results
M_tot: 0.000 μB per atom
mass density: 13.67 g/cm3

a = 2.9403 Å, b = 2.9403 Å, c = 10.3842 Å
α = 90.00°, β = 90.00°, γ = 117.01°
Closest atoms and distances in Å follow each position.
Element x y z (fractional)
Pb 0.5000 0.5000 0.7805  6 Pb 2.94-3.07, 2 Re 3.09
Se 0.0000 0.0000 0.4430  2 Re 2.62
Re 0.5000 0.5000 0.2380  2 Re 2.58, 2 Se 2.62
Re 0.0000 0.0000 0.0385  2 Re 2.58

---

(ii)
Crystalline Re2PbSe at its relaxed geometry, computed with GGA-PBE.

Results
M_tot: 0.000 μB per atom
mass density: 15.88 g/cm3

a = 3.1872 Å, b = 3.1872 Å, c = 6.7815 Å
α = 90.00°, β = 90.00°, γ = 90.00°
Closest atoms and distances in Å follow each position.
Element x y z (fractional)
Re 0.0000 0.0000 0.4647  4 Se 2.68, 1 Re 2.91, 4 Pb 2.97
Re 0.0000 0.0000 0.0353  4 Se 2.68, 1 Re 2.91, 4 Pb 2.97
Pb 0.5000 0.5000 0.7500  8 Re 2.97, 4 Pb 3.19
Se 0.5000 0.5000 0.2500  8 Re 2.68

---

(iii)
Crystalline Re2PbSe at its relaxed geometry, computed with GGA-PBE.

Results
M_tot: 0.000 μB per atom
mass density: 13.04 g/cm3

a = 4.3623 Å, b = 4.3623 Å, c = 9.3411 Å
α = 76.50°, β = 76.50°, γ = 90.00°
Closest atoms and distances in Å follow each position.
Element x y z (fractional)
Re 0.2254 0.6250 0.2500  2 Re 2.54, 2 Se 2.54
Se 0.5000 0.5000 0.0000  4 Re 2.54
Re 0.3750 0.4754 0.7500  2 Re 2.54, 2 Se 2.54
Pb 0.7500 0.2500 0.5000  4 Re 2.90, 4 Se 3.08
Pb 0.0000 0.0000 0.0000  4 Re 2.90, 4 Se 3.08
Re 0.8750 0.7746 0.7500  2 Re 2.54, 2 Se 2.54
Re 0.5246 0.1250 0.2500  2 Re 2.54, 2 Se 2.54
Se 0.2500 0.7500 0.5000  4 Re 2.54

---

Quick ranking, most stable first: (i), (iii), (ii).

---

(i)
Crystalline Re2PbSe at its relaxed geometry, computed with GGA-PBE.

Results
M_tot: 0.000 μB per atom
mass density: 15.76 g/cm3

a = 4.6129 Å, b = 4.6129 Å, c = 4.6129 Å
α = 60.00°, β = 60.00°, γ = 60.00°
Closest atoms and distances in Å follow each position.
Element x y z (fractional)
Re 0.2500 0.2500 0.2500  4 Pb 2.82, 4 Se 2.82
Se 0.0000 0.0000 0.0000  8 Re 2.82
Re 0.7500 0.7500 0.7500  4 Se 2.82, 4 Pb 2.82
Pb 0.5000 0.5000 0.5000  8 Re 2.82

---

(ii)
Crystalline Re2PbSe at its relaxed geometry, computed with GGA-PBE.

Results
M_tot: 0.000 μB per atom
mass density: 14.70 g/cm3

a = 4.5353 Å, b = 4.5353 Å, c = 5.8457 Å
α = 77.58°, β = 77.58°, γ = 39.46°
Closest atoms and distances in Å follow each position.
Element x y z (fractional)
Re 0.0040 0.0040 0.9358  3 Se 2.63-2.64, 2 Re 2.67, 2 Pb 2.93
Se 0.7500 0.7500 0.7500  6 Re 2.63-2.64
Re 0.4960 0.4960 0.5642  3 Se 2.63-2.64, 2 Re 2.67, 2 Pb 2.93
Pb 0.2500 0.2500 0.2500  6 Re 2.93-3.09, 2 Pb 3.06

---

Quick ranking, most stable first: (ii), (i).

---

(i)
Crystalline Re2PbSe at its relaxed geometry, computed with GGA-PBE.

Results
M_tot: 0.000 μB per atom
mass density: 15.23 g/cm3

a = 4.9566 Å, b = 4.9566 Å, c = 4.9566 Å
α = 128.90°, β = 128.90°, γ = 75.17°
Closest atoms and distances in Å follow each position.
Element x y z (fractional)
Re 0.0000 0.0000 0.0000  4 Pb 2.90, 4 Re 2.90, 4 Se 3.02
Se 0.5000 0.5000 0.0000  4 Pb 2.90, 8 Re 2.90-3.02
Re 0.2500 0.7500 0.5000  4 Se 2.90, 4 Re 2.90, 4 Pb 3.02
Pb 0.7500 0.2500 0.5000  8 Re 2.90-3.02, 4 Se 2.90

---

(ii)
Crystalline Re2PbSe at its relaxed geometry, computed with GGA-PBE.

Results
M_tot: 0.060 μB per atom
mass density: 14.95 g/cm3

a = 3.0233 Å, b = 5.1573 Å, c = 4.6926 Å
α = 90.00°, β = 90.00°, γ = 90.00°
Closest atoms and distances in Å follow each position.
Element x y z (fractional)
Re 0.5000 0.5000 0.0000  4 Pb 2.79, 6 Re 2.99-3.02
Re 0.0000 0.0000 0.0000  4 Se 2.79, 6 Re 2.99-3.02
Se 0.5000 0.0000 0.5000  4 Re 2.79, 4 Pb 2.99, 2 Se 3.02
Pb 0.0000 0.5000 0.5000  4 Re 2.79, 4 Se 2.99, 2 Pb 3.02

---

(iii)
Crystalline Re2PbSe at its relaxed geometry, computed with GGA-PBE.

Results
M_tot: 0.000 μB per atom
mass density: 11.71 g/cm3

a = 4.5627 Å, b = 4.5627 Å, c = 6.8974 Å
α = 79.76°, β = 79.76°, γ = 41.48°
Closest atoms and distances in Å follow each position.
Element x y z (fractional)
Pb 0.2593 0.2593 0.1802  5 Re 3.02-3.12, 2 Pb 3.23
Re 0.0245 0.0245 0.9040  3 Re 2.49-2.59, 2 Se 2.69
Se 0.4690 0.4690 0.6124  5 Re 2.64-2.93
Re 0.7472 0.7472 0.8034  3 Re 2.49-2.59, 2 Se 2.64

---

Quick ranking, most stable first: (iii), (i), (ii).

---

(i)
Crystalline Re2PbSe at its relaxed geometry, computed with GGA-PBE.

Results
M_tot: 0.000 μB per atom
mass density: 15.40 g/cm3

a = 8.9698 Å, b = 8.9698 Å, c = 8.9698 Å
α = 19.60°, β = 19.60°, γ = 19.60°
Closest atoms and distances in Å follow each position.
Element x y z (fractional)
Se 0.2500 0.2500 0.2500  6 Re 2.58
Re 0.5121 0.5121 0.5121  3 Se 2.58
Re 0.9879 0.9879 0.9879  3 Se 2.58
Pb 0.7500 0.7500 0.7500  6 Pb 3.05, 6 Re 3.07

---

(ii)
Crystalline Re2PbSe at its relaxed geometry, computed with GGA-PBE.

Results
M_tot: 0.000 μB per atom
mass density: 15.05 g/cm3

a = 5.5626 Å, b = 5.5626 Å, c = 5.5626 Å
α = 148.40°, β = 125.46°, γ = 64.42°
Closest atoms and distances in Å follow each position.
Element x y z (fractional)
Re 0.9661 0.9661 0.0000  2 Se 2.54
Se 0.7500 0.2500 0.5000  4 Re 2.54
Pb 0.2500 0.7500 0.5000  4 Se 2.96, 2 Pb 3.03, 8 Re 3.07-3.26
Re 0.5339 0.5339 0.0000  2 Se 2.54

---

(iii)
Crystalline Re2PbSe at its relaxed geometry, computed with GGA-PBE.

Results
M_tot: 0.000 μB per atom
mass density: 11.76 g/cm3

a = 4.1795 Å, b = 3.2281 Å, c = 6.8909 Å
α = 90.05°, β = 90.00°, γ = 90.00°
Closest atoms and distances in Å follow each position.
Element x y z (fractional)
Pb 0.5000 0.8743 0.8112  4 Re 2.92-3.00, 2 Pb 3.23
Re 0.5000 0.3751 0.1640  2 Se 2.65, 4 Re 2.66, 2 Pb 2.92
Se 0.0000 0.3756 0.4014  4 Re 2.51-2.65
Re 0.0000 0.8750 0.1234  2 Se 2.51, 4 Re 2.66

---

(iv)
Crystalline Re2PbSe at its relaxed geometry, computed with GGA-PBE.

Results
M_tot: 0.000 μB per atom
mass density: 13.42 g/cm3

a = 2.9785 Å, b = 2.9785 Å, c = 9.1850 Å
α = 90.00°, β = 90.00°, γ = 90.00°
Closest atoms and distances in Å follow each position.
Element x y z (fractional)
Pb 0.5000 0.5000 0.8013  4 Pb 2.98, 4 Re 3.11
Se 0.0000 0.0000 0.4099  4 Re 2.63
Re 0.0000 0.0000 0.0503  8 Re 2.73-2.98
Re 0.5000 0.5000 0.2386  4 Se 2.63, 4 Re 2.73

---

Quick ranking, most stable first: (iv), (iii), (i), (ii).

---

(i)
Crystalline Re2PbSe at its relaxed geometry, computed with GGA-PBE.

Results
M_tot: 0.000 μB per atom
mass density: 13.28 g/cm3

a = 10.5276 Å, b = 10.5276 Å, c = 10.5276 Å
α = 16.53°, β = 16.53°, γ = 16.53°
Closest atoms and distances in Å follow each position.
Element x y z (fractional)
Pb 0.7346 0.7346 0.7346  6 Pb 3.03, 3 Re 3.09
Se 0.5268 0.5268 0.5268  3 Re 2.53
Re 0.9860 0.9860 0.9860  9 Re 2.72-3.03
Re 0.2525 0.2525 0.2525  3 Se 2.53, 3 Re 2.72

---

(ii)
Crystalline Re2PbSe at its relaxed geometry, computed with GGA-PBE.

Results
M_tot: 0.000 μB per atom
mass density: 14.75 g/cm3

a = 3.1416 Å, b = 3.1416 Å, c = 8.7808 Å
α = 90.00°, β = 90.00°, γ = 121.16°
Closest atoms and distances in Å follow each position.
Element x y z (fractional)
Pb 0.5000 0.5000 0.7500  4 Re 2.90, 6 Pb 3.09-3.14
Se 0.5000 0.5000 0.2500  4 Re 2.48
Re 0.0000 0.0000 0.0291  2 Se 2.48
Re 0.0000 0.0000 0.4709  2 Se 2.48

---

Quick ranking, most stable first: (i), (ii).

---

(i)
Crystalline RePb3Se at its relaxed geometry, computed with GGA-PBE.

Results
M_tot: 0.801 μB per atom
mass density: 8.36 g/cm3

a = 5.6054 Å, b = 5.6054 Å, c = 5.6054 Å
α = 90.00°, β = 90.00°, γ = 90.00°
Closest atoms and distances in Å follow each position.
Element x y z (fractional)
Pb 0.0000 0.5000 0.0000  2 Se 2.80
Se 0.0000 0.0000 0.0000  6 Pb 2.80
Re 0.5000 0.5000 0.5000  12 Pb 3.96
Pb 0.5000 0.0000 0.0000  2 Se 2.80
Pb 0.0000 0.0000 0.5000  2 Se 2.80

---

(ii)
Crystalline RePb3Se at its relaxed geometry, computed with GGA-PBE.

Results
M_tot: 0.002 μB per atom
mass density: 9.83 g/cm3

a = 5.3117 Å, b = 5.3117 Å, c = 5.3117 Å
α = 90.00°, β = 90.00°, γ = 90.00°
Closest atoms and distances in Å follow each position.
Element x y z (fractional)
Se 0.5000 0.5000 0.5000  12 Pb 3.76
Pb 0.0000 0.0000 0.5000  2 Re 2.66
Pb 0.0000 0.5000 0.0000  2 Re 2.66
Pb 0.5000 0.0000 0.0000  2 Re 2.66
Re 0.0000 0.0000 0.0000  6 Pb 2.66

---

Quick ranking, most stable first: (ii), (i).